The following is a DFT calculation (PBE-GGA) of crystalline B6SbN6 at its relaxed geometry.

POSCAR file:
```
B6SbN6
1.0
4.695 0.000 0.000
0.000 4.695 0.000
0.000 0.000 4.695
B Sb N
6 1 6
Cartesian
1.200 0.000 2.348
0.000 2.348 1.200
2.348 3.495 0.000
3.495 0.000 2.348
0.000 2.348 3.495
2.348 1.200 0.000
2.348 2.348 2.348
0.000 1.144 2.348
0.000 3.551 2.348
2.348 0.000 3.551
3.551 2.348 0.000
2.348 0.000 1.144
1.144 2.348 0.000
```

Values from the calculation:
Uncorrected formation energy   0.54 eV/f.u.
Fermi-level density of states   1.8 states/eV/f.u.